Material: NiGeNF2
Method: DFT, GGA+U
State: relaxed

Structure (CIF):
```
data_NiGeNF2
_chemical_formula_sum 'Ni1 Ge1 N1 F2'
_space_group_name_H-M_alt 'P 4/m m m'
_space_group_IT_number 123
_space_group_name_Hall '-P 4 2'
_cell_length_a 3.8215
_cell_length_b 3.8215
_cell_length_c 4.1569
_cell_angle_alpha 90.00
_cell_angle_beta 90.00
_cell_angle_gamma 90.00
loop_
_atom_site_label
_atom_site_type_symbol
_atom_site_fract_x
_atom_site_fract_y
_atom_site_fract_z
_atom_site_occupancy
Ni1 Ni 0.0000 0.0000 0.0000 1
Ge1 Ge 0.5000 0.5000 0.5000 1
N1 N 0.0000 0.0000 0.5000 1
F1 F 0.0000 0.5000 0.0000 1
```

Results
Energy relative to the lowest polymorph listed for this composition (meV/atom): 0